Record 1
A geometry-optimized Dy12Er6Pu structure, computed with PBE.

```
Dy12Er6Pu
1.0
-7.630 -5.283 0.849
7.631 -5.283 -0.841
0.796 5.879 7.187
Dy Er Pu
12 6 1
Cartesian
-1.948 1.164 4.445 Dy
4.309 -1.180 2.225 Dy
-1.558 -4.706 0.578 Dy
2.745 -5.851 2.750 Dy
-3.512 -3.507 4.970 Dy
2.355 0.019 6.617 Dy
0.977 2.964 5.269 Dy
5.509 -1.145 5.535 Dy
-3.735 -0.577 6.928 Dy
-0.180 -7.651 1.926 Dy
-4.712 -3.542 1.661 Dy
4.532 -4.110 0.267 Dy
1.171 0.000 3.297 Er
-0.566 -1.774 5.817 Er
2.538 -2.939 4.715 Er
-0.374 -4.687 3.899 Er
1.363 -2.913 1.378 Er
-1.741 -1.748 2.480 Er
0.000 0.000 0.000 Pu
```

The symmetry is R-3, No. 148. Its density of states at the Fermi level is 32.449 states/eV per cell. Its uncorrected energy is -5.07 eV/atom. The calculation puts the formation energy at 0.6 eV per formula unit.

***

Record 2
A geometry-optimized DyEr2Pu structure, computed with PBE.

```
DyEr2Pu
1.0
-0.545 -4.819 0.904
4.856 -0.656 -0.569
0.676 0.827 4.816
Er Dy Pu
2 1 1
Cartesian
0.338 0.414 2.408 Er
2.428 -0.328 -0.284 Er
-0.273 -2.410 0.452 Dy
2.493 -2.324 2.576 Pu
```

The symmetry is P4/mmm, No. 123. Its density of states at the Fermi level is 15.674 states/eV per cell. Its uncorrected energy is -6.88 eV/atom. The calculation puts the formation energy at 0.5 eV per formula unit.

***

Record 3
A geometry-optimized Dy5Er4Pu structure, computed with PBE.

```
Dy5Er4Pu
1.0
3.378 0.000 -0.832
-0.503 11.027 -2.042
0.279 -1.167 8.410
Dy Er Pu
5 4 1
Cartesian
0.521 6.298 2.119 Dy
0.701 0.416 2.847 Dy
2.452 9.443 2.690 Dy
1.437 5.513 -1.437 Dy
2.633 3.561 3.417 Dy
1.702 8.557 -0.359 Er
2.971 6.854 4.796 Er
1.451 1.303 5.895 Er
0.182 3.005 0.741 Er
1.689 0.000 -0.416 Pu
```

The symmetry is C2/m, No. 12. Its density of states at the Fermi level is 17.427 states/eV per cell. Its uncorrected energy is -5.50 eV/atom. The calculation puts the formation energy at 0.6 eV per formula unit.

***

Record 4
A geometry-optimized DyEr2Pu structure, computed with PBE.

```
DyEr2Pu
1.0
5.546 0.000 0.000
2.773 4.803 0.000
2.773 1.601 4.528
Er Dy Pu
2 1 1
Cartesian
2.773 1.601 1.132 Er
8.319 4.803 3.396 Er
5.546 3.202 2.264 Dy
0.000 0.000 0.000 Pu
```

The symmetry is Fm-3m, No. 225. Its density of states at the Fermi level is 10.187 states/eV per cell. Its uncorrected energy is -6.83 eV/atom. The calculation puts the formation energy at 0.7 eV per formula unit.

***

Record 5
A geometry-optimized Dy5Er4Pu structure, computed with PBE.

```
Dy5Er4Pu
1.0
-3.643 -3.902 -0.865
3.216 -7.170 1.893
-4.334 -1.190 6.718
Dy Er Pu
5 4 1
Cartesian
-6.122 -7.021 6.710 Dy
-0.194 -8.644 5.972 Dy
-4.573 -3.625 1.773 Dy
1.354 -5.247 1.034 Dy
-1.830 -1.960 -0.434 Dy
-3.690 -5.099 4.708 Er
-3.767 -8.856 5.080 Er
-0.998 -3.411 2.665 Er
-1.076 -7.168 3.037 Er
-0.009 -0.010 -0.002 Pu
```

The symmetry is I4mm, No. 107. Its density of states at the Fermi level is 12.089 states/eV per cell. Its uncorrected energy is -5.30 eV/atom. The calculation puts the formation energy at 2.6 eV per formula unit.

***

Record 6
A geometry-optimized Dy12Er5Pu structure, computed with PBE.

```
Dy12Er5Pu
1.0
-9.400 -1.048 -5.589
-0.925 -6.286 -8.063
-1.683 -4.372 3.576
Dy Er Pu
12 5 1
Cartesian
-8.656 -2.921 -3.008 Dy
-2.426 -2.499 0.995 Dy
-7.946 -4.934 -0.297 Dy
-4.061 -6.772 -9.778 Dy
-5.376 -8.800 -3.747 Dy
-0.672 -4.305 -5.293 Dy
-11.336 -7.401 -4.782 Dy
-6.632 -2.905 -6.328 Dy
-5.916 -4.915 -3.602 Dy
-9.348 -7.375 -8.166 Dy
-2.660 -4.331 -1.909 Dy
-6.092 -6.790 -6.473 Dy
-5.541 -2.710 -1.006 Er
-3.040 -6.529 -4.498 Er
-8.968 -5.178 -5.578 Er
-6.868 -4.912 -9.123 Er
-3.457 -2.421 -4.529 Er
0.000 0.000 0.000 Pu
```

The symmetry is C2/m, No. 12. Its density of states at the Fermi level is 39.876 states/eV per cell. Its uncorrected energy is -5.00 eV/atom. The calculation puts the formation energy at 2.4 eV per formula unit.

***

Record 7
A geometry-optimized Dy3ErPu structure, computed with PBE.

```
Dy3ErPu
1.0
5.905 0.778 -2.114
-1.980 5.618 -2.114
0.131 0.214 8.653
Dy Er Pu
6 2 2
Cartesian
4.228 1.287 0.635 Dy
-0.172 5.322 3.790 Dy
4.823 2.256 3.790 Dy
-0.767 4.353 0.635 Dy
1.387 2.260 3.493 Dy
2.669 4.349 0.932 Dy
0.841 1.370 0.148 Er
3.216 5.239 4.277 Er
3.148 2.470 -2.114 Pu
0.778 3.925 -2.114 Pu
```

The symmetry is C2/m, No. 12. Its density of states at the Fermi level is 21.566 states/eV per cell. Its uncorrected energy is -6.40 eV/atom. The calculation puts the formation energy at 0.7 eV per formula unit.

***

Record 8
A geometry-optimized Dy12Er3Pu structure, computed with PBE.

```
Dy12Er3Pu
1.0
4.987 0.000 0.000
0.000 4.987 0.000
0.000 0.000 19.936
Dy Er Pu
12 3 1
Cartesian
2.494 2.494 0.000 Dy
2.494 2.494 4.972 Dy
2.494 2.494 9.968 Dy
2.494 2.494 14.964 Dy
2.494 0.000 2.437 Dy
2.494 0.000 7.456 Dy
2.494 0.000 12.479 Dy
2.494 0.000 17.499 Dy
0.000 2.494 2.437 Dy
0.000 2.494 7.456 Dy
0.000 2.494 12.479 Dy
0.000 2.494 17.499 Dy
0.000 0.000 4.953 Er
0.000 0.000 9.968 Er
0.000 0.000 14.983 Er
0.000 0.000 0.000 Pu
```

The symmetry is P4/mmm, No. 123. Its density of states at the Fermi level is 27.407 states/eV per cell. Its uncorrected energy is -5.16 eV/atom. The calculation puts the formation energy at 0.6 eV per formula unit.

***

Record 9
A geometry-optimized Dy6Er8Pu structure, computed with PBE.

```
Dy6Er8Pu
1.0
-3.592 0.663 -5.465
0.204 -9.159 -1.246
-6.805 3.843 4.939
Dy Er Pu
6 8 1
Cartesian
-2.572 -5.506 -3.697 Dy
-6.013 -5.710 -1.460 Dy
-4.244 -2.071 -2.181 Dy
-7.621 0.853 1.926 Dy
-4.180 1.058 -0.311 Dy
-5.949 -2.582 0.410 Dy
-5.145 -7.150 -4.580 Er
-7.606 -3.154 -2.477 Er
-3.314 -2.385 -5.204 Er
-5.048 2.497 2.809 Er
-2.587 -1.498 0.706 Er
-6.879 -2.268 3.433 Er
-7.408 0.052 -1.594 Er
-2.785 -4.704 -0.177 Er
-1.796 0.332 -2.732 Pu
```

The symmetry is P-3, No. 147. Its density of states at the Fermi level is 28.719 states/eV per cell. Its uncorrected energy is -4.96 eV/atom. The calculation puts the formation energy at 4.1 eV per formula unit.

***

Record 10
A geometry-optimized Dy8Er5Pu structure, computed with PBE.

```
Dy8Er5Pu
1.0
-8.264 -2.183 -0.818
5.022 -5.555 3.634
1.802 6.225 5.382
Dy Er Pu
8 5 1
Cartesian
4.172 2.019 6.820 Dy
0.598 3.161 4.133 Dy
-4.777 -0.148 2.104 Dy
-3.393 -4.057 1.114 Dy
-0.565 -3.451 2.875 Dy
2.348 -1.006 7.810 Dy
-1.464 0.409 3.591 Dy
-3.626 -2.714 4.174 Dy
1.526 -0.897 2.054 Er
-2.725 -5.907 3.754 Er
-0.801 -1.790 6.284 Er
2.233 -2.909 4.738 Er
-1.796 -0.668 0.654 Er
1.410 0.463 5.264 Pu
```

The symmetry is P1, No. 1. Its density of states at the Fermi level is 27.048 states/eV per cell. Its uncorrected energy is -5.11 eV/atom. The calculation puts the formation energy at 2.4 eV per formula unit.

***

Record 11
A geometry-optimized DyEr2Pu structure, computed with PBE.

```
DyEr2Pu
1.0
-1.878 2.119 -2.010
-2.920 -1.349 1.308
0.050 6.859 7.185
Er Dy Pu
2 1 1
Cartesian
0.037 5.110 5.353 Er
0.013 1.749 1.832 Er
-2.399 0.385 -0.351 Dy
-2.374 3.815 3.242 Pu
```

The symmetry is P4/mmm, No. 123. Its density of states at the Fermi level is 10.421 states/eV per cell. Its uncorrected energy is -6.92 eV/atom. The calculation puts the formation energy at 0.4 eV per formula unit.

***

Record 12
A geometry-optimized Dy4Er3Pu structure, computed with PBE.

```
Dy4Er3Pu
1.0
3.309 0.000 -0.801
-1.179 10.309 -4.873
0.275 -2.386 8.371
Er Pu Dy
3 1 4
Cartesian
-0.590 5.155 -2.436 Er
1.768 6.610 0.071 Er
0.636 1.314 2.626 Er
1.654 0.000 -0.400 Pu
1.715 3.285 -0.152 Dy
0.689 4.638 2.849 Dy
1.284 -0.558 5.305 Dy
1.120 8.482 -2.608 Dy
```

The symmetry is Immm, No. 71. Its density of states at the Fermi level is 17.396 states/eV per cell. Its uncorrected energy is -5.65 eV/atom. The calculation puts the formation energy at 1.2 eV per formula unit.